(1)
Computed, not measured: an optimized crystal structure of TlRu2Br at the PBE-GGA level of DFT.

Cell and atoms, written as extended XYZ:
```
4
Lattice="1.565 0.903 8.359 -1.565 0.903 8.359 0.000 -1.807 8.359" Properties=species:S:1:pos:R:3 pbc="T T T"
Tl 0.000 0.000 0.000
Ru 0.000 0.000 6.165
Ru 0.000 0.000 18.912
Br 0.000 0.000 12.538
```

Space-group type: R-3m
Size of the total moment in μB per atom: 0.085
E_tot in eV/atom: -4.87
Density of states at the Fermi level in states/eV/atom: 1.23


(2)
Computed, not measured: an optimized crystal structure of TlRu2Br at the PBE-GGA level of DFT.

Cell and atoms, written as extended XYZ:
```
4
Lattice="4.593 0.000 0.000 0.000 3.123 0.000 -1.939 0.000 4.999" Properties=species:S:1:pos:R:3 pbc="T T T"
Tl 0.000 0.000 0.000
Ru 1.327 0.000 2.500
Ru 2.296 1.561 0.000
Br -0.969 1.561 2.500
```

Space-group type: P2/m
Size of the total moment in μB per atom: 0.000
E_tot in eV/atom: -4.80
Density of states at the Fermi level in states/eV/atom: 1.00


(3)
Computed, not measured: an optimized crystal structure of TlRuBr2 at the PBE-GGA level of DFT.

Cell and atoms, written as extended XYZ:
```
4
Lattice="1.838 -3.268 0.000 1.838 3.268 0.000 0.000 0.000 9.314" Properties=species:S:1:pos:R:3 pbc="T T T"
Tl 0.000 0.000 0.000
Ru 0.000 0.000 4.657
Br 1.838 0.000 2.956
Br 1.838 0.000 6.357
```

Space-group type: Cmmm
Size of the total moment in μB per atom: 0.375
E_tot in eV/atom: -3.53
Density of states at the Fermi level in states/eV/atom: 0.96


(4)
Computed, not measured: an optimized crystal structure of TlRu2Br at the PBE-GGA level of DFT.

Cell and atoms, written as extended XYZ:
```
4
Lattice="4.331 -1.536 0.000 4.331 1.536 0.000 -1.460 0.000 5.568" Properties=species:S:1:pos:R:3 pbc="T T T"
Tl 0.000 0.000 0.000
Ru 1.186 0.000 3.859
Ru 6.016 0.000 1.709
Br 3.601 0.000 2.784
```

Space-group type: C2/m
Size of the total moment in μB per atom: 0.000
E_tot in eV/atom: -4.88
Density of states at the Fermi level in states/eV/atom: 0.75


(5)
Computed, not measured: an optimized crystal structure of Tl3RuBr6 at the PBE-GGA level of DFT.

Cell and atoms, written as extended XYZ:
```
20
Lattice="7.451 0.000 0.000 0.000 8.269 0.000 -6.974 0.000 10.947" Properties=species:S:1:pos:R:3 pbc="T T T"
Tl 0.000 0.000 0.000
Tl -3.487 4.135 5.473
Tl -3.617 0.634 8.142
Tl -0.130 3.500 2.669
Tl 0.608 4.769 8.278
Tl 4.095 7.635 2.804
Ru 0.239 0.000 5.473
Ru 3.726 4.135 0.000
Br -1.889 1.312 5.058
Br -5.375 2.822 10.531
Br -0.933 6.129 4.760
Br -4.420 6.274 10.233
Br 0.983 0.407 3.090
Br -2.504 3.728 8.564
Br 2.981 4.541 2.383
Br -0.505 7.862 7.856
Br 4.897 1.995 0.714
Br 1.410 2.140 6.187
Br 5.853 5.447 0.415
Br 2.366 6.957 5.889
```

Space-group type: P2_1/c
Size of the total moment in μB per atom: 0.102
E_tot in eV/atom: -3.23
Density of states at the Fermi level in states/eV/atom: 0.86


(6)
Computed, not measured: an optimized crystal structure of TlRuBr2 at the PBE-GGA level of DFT.

Cell and atoms, written as extended XYZ:
```
4
Lattice="0.000 3.719 3.719 3.719 0.000 3.719 3.719 3.719 0.000" Properties=species:S:1:pos:R:3 pbc="T T T"
Tl 0.000 0.000 0.000
Ru 3.719 3.719 3.719
Br 1.860 1.860 1.860
Br 5.579 5.579 5.579
```

Space-group type: Fm-3m
Size of the total moment in μB per atom: 0.750
E_tot in eV/atom: -3.34
Density of states at the Fermi level in states/eV/atom: 0.00